[1]
## K3LiOs2O8 (PBE-GGA)

Data for crystalline K3LiOs2O8 at its relaxed geometry.

## Properties
Electronic total energy in hartree per atom: -0.2263
Calculated volume in Å³/atom: 16.78
Formation energy without anion corrections in eV per atom: -1.348

CIF file:
```
data_K3LiOs2O8
_chemical_formula_sum 'K3 Li1 Os2 O8'
_symmetry_space_group_name_H-M 'P -3 m 1'
_symmetry_Int_Tables_number 164
_symmetry_space_group_name_Hall '-P 3 2"'
_cell_length_a 5.9299
_cell_length_b 5.9299
_cell_length_c 7.7141
_cell_angle_alpha 90.00
_cell_angle_beta 90.00
_cell_angle_gamma 120.00
loop_
_atom_site_label
_atom_site_type_symbol
_atom_site_fract_x
_atom_site_fract_y
_atom_site_fract_z
K1 K 0.0000 0.0000 0.0000
K2 K 0.3333 0.6667 0.6497
Li1 Li 0.0000 0.0000 0.5000
Os1 Os 0.3333 0.6667 0.2179
O1 O 0.1713 0.3426 0.3154
O2 O 0.3333 0.6667 0.9862
```

=====

[2]
## CaMnSe (PBE-GGA)

Data for crystalline CaMnSe at its relaxed geometry.

## Properties
Electronic total energy in hartree per atom: -0.2022
Calculated volume in Å³/atom: 22.11
E above lowest polymorph in meV per atom: 157
Formation energy without anion corrections in eV per atom: -0.618

CIF file:
```
data_CaMnSe
_chemical_formula_sum 'Ca2 Mn2 Se2'
_symmetry_space_group_name_H-M 'P 4/n m m'
_symmetry_Int_Tables_number 129
_cell_length_a 3.9222
_cell_length_b 3.9222
_cell_length_c 8.6249
_cell_angle_alpha 90.00
_cell_angle_beta 90.00
_cell_angle_gamma 90.00
loop_
_symmetry_equiv_pos_as_xyz
'x,y,z'
'-x,-y,-z'
'-y+1/2,x,z'
'y+1/2,-x,-z'
'-x+1/2,-y+1/2,z'
'x+1/2,y+1/2,-z'
'y,-x+1/2,z'
'-y,x+1/2,-z'
'x+1/2,-y,-z'
'-x+1/2,y,z'
'-y,-x,-z'
'y,x,z'
'-x,y+1/2,-z'
'x,-y+1/2,z'
'y+1/2,x+1/2,-z'
'-y+1/2,-x+1/2,z'
loop_
_atom_site_label
_atom_site_type_symbol
_atom_site_fract_x
_atom_site_fract_y
_atom_site_fract_z
Ca1 Ca 0.2500 0.2500 0.1838
Mn1 Mn 0.2500 0.7500 0.5000
Se1 Se 0.2500 0.2500 0.7048
```

=====

[3]
## ZrGa2BiMo (PBE-GGA)

Data for crystalline ZrGa2BiMo at its relaxed geometry.

## Properties
Electronic total energy in hartree per atom: -0.1745
Calculated formation energy in meV/atom: 1116
Calculated volume in Å³/atom: 30.10

CIF file:
```
data_ZrGa2BiMo
_chemical_formula_sum 'Zr1 Ga2 Bi1 Mo1'
_symmetry_space_group_name_H-M 'P 4/m m m'
_symmetry_Int_Tables_number 123
_symmetry_space_group_name_Hall '-P 4 2'
_cell_length_a 5.1917
_cell_length_b 5.1917
_cell_length_c 5.5834
_cell_angle_alpha 90.00
_cell_angle_beta 90.00
_cell_angle_gamma 90.00
loop_
_atom_site_label
_atom_site_type_symbol
_atom_site_fract_x
_atom_site_fract_y
_atom_site_fract_z
Zr1 Zr 0.0000 0.0000 0.0000
Ga1 Ga 0.0000 0.5000 0.0000
Bi1 Bi 0.0000 0.0000 0.5000
Mo1 Mo 0.5000 0.5000 0.5000
```